# ZnCo2Pb | Alexandria | PBE | relaxed
data_ZnCo2Pb
_chemical_formula_sum 'Zn2 Co4 Pb2'
_cell_length_a 4.043
_cell_length_b 4.043
_cell_length_c 9.192
_cell_angle_alpha 77.29
_cell_angle_beta 77.29
_cell_angle_gamma 90.00
_symmetry_space_group_name_H-M 'P 1'
_symmetry_Int_Tables_number 1
_symmetry_space_group_name_Hall 'P 1'
loop_
_atom_site_label
_atom_site_fract_x
_atom_site_fract_y
_atom_site_fract_z
_atom_site_occupancy
Pb1 0.000 0.000 0.000 1
Pb2 0.750 0.250 0.500 1
Zn1 0.500 0.500 0.000 1
Zn2 0.250 0.750 0.500 1
Co1 0.514 0.125 0.250 1
Co2 0.236 0.625 0.250 1
Co3 0.375 0.486 0.750 1
Co4 0.875 0.764 0.750 1
# Spin magnetization in μB per cell: 5.8
# Theoretical density in Mg/m³: 9.08
# Energy of formation in eV per atom: 0.547

***

# Zn2Co2Pb | Alexandria | PBE | relaxed
data_Zn2Co2Pb
_chemical_formula_sum 'Zn4 Co4 Pb2'
_cell_length_a 6.812
_cell_length_b 6.812
_cell_length_c 3.302
_cell_angle_alpha 90.00
_cell_angle_beta 90.00
_cell_angle_gamma 90.00
_symmetry_space_group_name_H-M 'P 1'
_symmetry_Int_Tables_number 1
_symmetry_space_group_name_Hall 'P 1'
loop_
_atom_site_label
_atom_site_fract_x
_atom_site_fract_y
_atom_site_fract_z
_atom_site_occupancy
Pb1 0.000 0.000 0.000 1
Pb2 0.500 0.500 0.000 1
Zn1 0.146 0.646 0.500 1
Zn2 0.646 0.854 0.500 1
Zn3 0.854 0.354 0.500 1
Zn4 0.354 0.146 0.500 1
Co1 0.360 0.860 0.000 1
Co2 0.860 0.640 0.000 1
Co3 0.640 0.140 0.000 1
Co4 0.140 0.360 0.000 1
# Spin magnetization in μB per cell: 3.8
# E above lowest polymorph in meV/atom: 0
# Theoretical density in Mg/m³: 9.88
# Energy of formation in eV per atom: 0.245

***

# ZnCoPb2 | Alexandria | PBE | relaxed
data_ZnCoPb2
_chemical_formula_sum 'Zn1 Co1 Pb2'
_cell_length_a 3.278
_cell_length_b 3.278
_cell_length_c 8.174
_cell_angle_alpha 90.00
_cell_angle_beta 90.00
_cell_angle_gamma 89.99
_symmetry_space_group_name_H-M 'P 1'
_symmetry_Int_Tables_number 1
_symmetry_space_group_name_Hall 'P 1'
loop_
_atom_site_label
_atom_site_fract_x
_atom_site_fract_y
_atom_site_fract_z
_atom_site_occupancy
Co1 0.500 0.500 0.750 1
Pb1 0.000 0.000 0.955 1
Pb2 0.000 0.000 0.545 1
Zn1 0.500 0.500 0.250 1
# Spin magnetization in μB per cell: 0.7
# Theoretical density in Mg/m³: 10.19
# Energy of formation in eV per atom: 0.371

***

# Zn2Co2Pb | Alexandria | PBE | relaxed
data_Zn2Co2Pb
_chemical_formula_sum 'Zn2 Co2 Pb1'
_cell_length_a 3.680
_cell_length_b 3.680
_cell_length_c 6.383
_cell_angle_alpha 73.25
_cell_angle_beta 73.25
_cell_angle_gamma 90.00
_symmetry_space_group_name_H-M 'P 1'
_symmetry_Int_Tables_number 1
_symmetry_space_group_name_Hall 'P 1'
loop_
_atom_site_label
_atom_site_fract_x
_atom_site_fract_y
_atom_site_fract_z
_atom_site_occupancy
Pb1 0.000 0.000 0.000 1
Zn1 0.750 0.250 0.500 1
Zn2 0.250 0.750 0.500 1
Co1 0.400 0.400 0.201 1
Co2 0.600 0.600 0.799 1
# Spin magnetization in μB per cell: 1.6
# E above lowest polymorph in meV/atom: 74
# Theoretical density in Mg/m³: 9.59
# Energy of formation in eV per atom: 0.319